1.
This record from the Alexandria database describes a relaxed YReN4 crystal. The functional is PBE-GGA.

Unit cell a=5.262 b=5.262 c=11.775 alpha=90.00 beta=90.00 gamma=90.00
Space group I4_1/a (No. 88, origin choice 2)
Asymmetric unit:
Y (0.000, 0.250, 0.125) (multiplicity 4)
Re (0.000, 0.250, 0.625) (multiplicity 4)
N (0.141, 0.496, 0.289) (multiplicity 16)

Properties
- formation energy (no corrections) (eV per atom) = -0.09
- E_tot (eV/atom) = -8.792

---

2.
This record from the Alexandria database describes a relaxed Pu2InHg crystal. The functional is PBE-GGA.

Unit cell a=6.295 b=9.810 c=3.220 alpha=90.00 beta=90.00 gamma=90.00
Space group Cmmm (No. 65)
Asymmetric unit:
Pu (0.250, 0.250, 0.000) (multiplicity 4)
In (0.000, 0.000, 0.500) (multiplicity 2)
Hg (0.000, 0.500, 0.500) (multiplicity 2)

Properties
- energy of formation (eV/f.u.) = -0.57
- E_tot (eV/atom) = -8.070

---

Q: E_tot of number 1 (YReN4)?
A: -8.792 eV/atom

---

Q: The highest E_tot belongs to which entry?
A: Pu2InHg

---

Q: Look up the E_tot of the second one.
A: -8.070 eV/atom

---

Q: Among the records above, which one has the lowest E_tot?
A: YReN4